Ca3CoRe | GGA-PBEsol | optimized geometry

Properties
The space group is Pm-3m (221). The value obtained for the total energy is -21.367 eV/cell. The formation energy is 1.220 eV per atom. For the magnetization, the calculation gives 0.642 μB per atom. As for the density of states at the Fermi level: 5.78 states/eV per cell.

a = 5.0567 Å, b = 5.0567 Å, c = 5.0567 Å
α = 90.00°, β = 90.00°, γ = 90.00°
With the nearest neighbours (Å) after each atom.
Atoms (fractional coordinates):
Re: 0.5000 0.5000 0.5000  12 Ca 3.58
Ca: 0.5000 0.0000 0.0000  2 Co 2.53
Ca: 0.0000 0.0000 0.5000  2 Co 2.53
Ca: 0.0000 0.5000 0.0000  2 Co 2.53
Co: 0.0000 0.0000 0.0000  6 Ca 2.53



CaCo2Re | GGA-PBEsol | optimized geometry

Properties
The space group is I-4m2 (119). The value obtained for the total energy is -27.740 eV/cell. The formation energy is 0.800 eV per atom. For the magnetization, the calculation gives 0.000 μB per atom. As for the density of states at the Fermi level: 3.72 states/eV per cell.

a = 3.6471 Å, b = 3.6471 Å, c = 4.9447 Å
α = 111.64°, β = 111.64°, γ = 90.00°
With the nearest neighbours (Å) after each atom.
Atoms (fractional coordinates):
Re: 0.5000 0.5000 0.0000  8 Co 2.58-2.79, 4 Ca 2.79
Co: 0.7500 0.2500 0.5000  4 Ca 2.58, 4 Co 2.79, 4 Re 2.79
Co: 0.0000 0.0000 0.0000  4 Re 2.58, 4 Co 2.79, 4 Ca 2.79
Ca: 0.2500 0.7500 0.5000  8 Co 2.58-2.79, 4 Re 2.79



CaCo2Rh | GGA-PBEsol | optimized geometry

Properties
The space group is Fm-3m (225). The value obtained for the total energy is -24.227 eV/cell. The formation energy is 0.380 eV per atom. For the magnetization, the calculation gives 0.952 μB per atom. As for the density of states at the Fermi level: 5.48 states/eV per cell.

a = 4.3312 Å, b = 4.3312 Å, c = 4.3312 Å
α = 60.00°, β = 60.00°, γ = 60.00°
With the nearest neighbours (Å) after each atom.
Atoms (fractional coordinates):
Rh: 0.5000 0.5000 0.5000  8 Co 2.65
Co: 0.2500 0.2500 0.2500  4 Ca 2.65, 4 Rh 2.65
Co: 0.7500 0.7500 0.7500  4 Ca 2.65, 4 Rh 2.65
Ca: 0.0000 0.0000 0.0000  8 Co 2.65



Ca2CoRh | GGA-PBEsol | optimized geometry

Properties
The space group is P4mm (99). The value obtained for the total energy is -19.704 eV/cell. The formation energy is 0.109 eV per atom. For the magnetization, the calculation gives 0.413 μB per atom. As for the density of states at the Fermi level: 4.14 states/eV per cell.

a = 3.3052 Å, b = 3.3052 Å, c = 8.0711 Å
α = 90.00°, β = 90.00°, γ = 90.00°
With the nearest neighbours (Å) after each atom.
Atoms (fractional coordinates):
Ca: 0.0000 0.0000 0.9200  1 Co 2.76, 4 Rh 3.07
Ca: 0.5000 0.5000 0.3284  1 Rh 2.78, 4 Co 3.09
Rh: 0.5000 0.5000 0.6734  4 Co 2.46
Co: 0.0000 0.0000 0.5782  4 Rh 2.46



CaCo2Rh | GGA-PBEsol | optimized geometry

Properties
The space group is F-43m (216). The value obtained for the total energy is -24.200 eV/cell. The formation energy is 0.386 eV per atom. For the magnetization, the calculation gives 0.950 μB per atom. As for the density of states at the Fermi level: 5.42 states/eV per cell.

a = 4.3334 Å, b = 4.3327 Å, c = 4.3334 Å
α = 59.99°, β = 90.00°, γ = 120.01°
With the nearest neighbours (Å) after each atom.
Atoms (fractional coordinates):
Ca: 0.7500 0.5000 0.7500  4 Co 2.65, 4 Rh 2.65
Co: 0.0000 0.0000 0.0000  4 Ca 2.65, 4 Co 2.65
Co: 0.2500 0.5000 0.2500  4 Co 2.65, 4 Rh 2.65
Rh: 0.5000 0.0000 0.5000  4 Co 2.65, 4 Ca 2.65



CaCo2Rh | GGA-PBEsol | optimized geometry

Properties
The space group is C2/m (12). The value obtained for the total energy is -24.113 eV/cell. The formation energy is 0.408 eV per atom. For the magnetization, the calculation gives 0.825 μB per atom. As for the density of states at the Fermi level: 5.18 states/eV per cell.

a = 2.6861 Å, b = 4.9227 Å, c = 4.9227 Å
α = 116.19°, β = 98.17°, γ = 98.17°
With the nearest neighbours (Å) after each atom.
Atoms (fractional coordinates):
Ca: 0.5000 0.0000 0.0000  2 Rh 2.60, 4 Co 2.63, 2 Ca 2.69
Rh: 0.5000 0.5000 0.5000  2 Ca 2.60, 4 Co 2.63, 2 Rh 2.69
Co: 0.0000 0.0000 0.5000  4 Co 2.60-2.69, 2 Ca 2.63, 2 Rh 2.63
Co: 0.0000 0.5000 0.0000  4 Co 2.60-2.69, 2 Rh 2.63, 2 Ca 2.63



no.,calculated density (g cm⁻³)
1,4.69
2,10.18
3,7.54
4,4.56
5,7.53
6,7.70